A plane-wave DFT calculation with GGA-PBE was carried out for Nd8OsPt3Br4 after structural relaxation.

ΔE_f (raw): -109.06 kJ per mole of atoms

Cell lengths 9.164, 9.164, 9.164 Å; angles 54.68, 54.68, 54.68 degrees
Atoms (fractional coordinates):
Nd  0.232  0.232  0.232
Nd  0.242  0.728  0.728
Nd  0.272  0.272  0.758
Nd  0.272  0.758  0.272
Nd  0.728  0.242  0.728
Nd  0.728  0.728  0.242
Nd  0.758  0.272  0.272
Nd  0.768  0.768  0.768
Os  0.500  0.500  0.500
Pt  0.000  0.000  0.500
Pt  0.000  0.500  0.000
Pt  0.500  0.000  0.000
Br  0.000  0.000  0.000
Br  0.000  0.500  0.500
Br  0.500  0.000  0.500
Br  0.500  0.500  0.000


A plane-wave DFT calculation with GGA-PBE was carried out for TaAl2Pt after structural relaxation.

DFT formation energy: -0.432 eV/atom

Cell lengths 2.837, 4.988, 9.235 Å; angles 90.00, 90.00, 90.00 degrees
Atoms (fractional coordinates):
Ta  0.000  0.000  0.000
Ta  0.500  0.500  0.500
Al  0.000  0.500  0.234
Al  0.000  0.500  0.766
Al  0.500  0.000  0.266
Al  0.500  0.000  0.734
Pt  0.000  0.000  0.500
Pt  0.500  0.500  0.000


A plane-wave DFT calculation with GGA-PBE was carried out for Li2PuRhO6 after structural relaxation.

ΔE_f (raw): -163.07 kJ per mole of atoms

Cell lengths 5.795, 5.795, 4.021 Å; angles 90.00, 90.00, 90.00 degrees
Atoms (fractional coordinates):
Li  0.000  0.500  0.000
Li  0.500  0.000  0.000
Pu  0.000  0.000  0.903
Rh  0.500  0.500  0.911
O  0.000  0.000  0.406
O  0.251  0.251  0.921
O  0.251  0.749  0.921
O  0.500  0.500  0.414
O  0.749  0.251  0.921
O  0.749  0.749  0.921


A plane-wave DFT calculation with GGA-PBE was carried out for Pa2Be4GaSi3 after structural relaxation.

ΔE_f (raw): -26.79 kJ per mole of atoms

Cell lengths 3.919, 3.919, 9.487 Å; angles 90.00, 90.00, 90.00 degrees
Atoms (fractional coordinates):
Pa  0.000  0.500  0.245
Pa  0.500  0.000  0.755
Be  0.000  0.000  0.000
Be  0.000  0.500  0.635
Be  0.500  0.000  0.365
Be  0.500  0.500  0.000
Ga  0.000  0.000  0.500
Si  0.000  0.500  0.872
Si  0.500  0.000  0.128
Si  0.500  0.500  0.500


A plane-wave DFT calculation with GGA-PBE was carried out for HoTaNi2 after structural relaxation.

DFT formation energy: 0.046 eV/atom
excess energy over the best structure of this formula in the dataset: 293.2 meV per atom

Cell lengths 3.476, 3.476, 20.716 Å; angles 90.00, 90.00, 120.00 degrees
Atoms (fractional coordinates):
Ho  0.000  0.000  0.000
Ho  0.333  0.667  0.667
Ho  0.667  0.333  0.333
Ta  0.000  0.000  0.500
Ta  0.333  0.667  0.167
Ta  0.667  0.333  0.833
Ni  0.000  0.000  0.239
Ni  0.000  0.000  0.761
Ni  0.333  0.667  0.428
Ni  0.333  0.667  0.906
Ni  0.667  0.333  0.094
Ni  0.667  0.333  0.572


A plane-wave DFT calculation with GGA-PBE was carried out for Sm3TmHg after structural relaxation.

DFT formation energy: -0.082 eV/atom
excess energy over the best structure of this formula in the dataset: 20.4 meV per atom

Cell lengths 11.100, 11.100, 8.265 Å; angles 106.23, 106.23, 18.61 degrees
Atoms (fractional coordinates):
Sm  0.013  0.013  0.244
Sm  0.175  0.175  0.449
Sm  0.380  0.380  0.953
Sm  0.620  0.620  0.047
Sm  0.825  0.825  0.551
Sm  0.987  0.987  0.756
Tm  0.267  0.267  0.179
Tm  0.733  0.733  0.821
Hg  0.417  0.417  0.389
Hg  0.583  0.583  0.611


A plane-wave DFT calculation with GGA-PBE was carried out for Li4NdGe4 after structural relaxation.

DFT formation energy: -0.373 eV/atom

Cell lengths 6.152, 6.152, 8.725 Å; angles 90.00, 90.00, 90.00 degrees
Atoms (fractional coordinates):
Li  0.007  0.250  0.157
Li  0.250  0.007  0.657
Li  0.250  0.493  0.657
Li  0.493  0.250  0.157
Li  0.507  0.750  0.843
Li  0.750  0.507  0.343
Li  0.750  0.993  0.343
Li  0.993  0.750  0.843
Nd  0.250  0.750  0.250
Nd  0.750  0.250  0.750
Ge  0.048  0.250  0.456
Ge  0.250  0.048  0.956
Ge  0.250  0.452  0.956
Ge  0.452  0.250  0.456
Ge  0.548  0.750  0.544
Ge  0.750  0.548  0.044
Ge  0.750  0.952  0.044
Ge  0.952  0.750  0.544


| no. | E_tot (eV for the cell shown) | total magnetic moment (μB/f.u.) |
| --- | --- | --- |
| 1 | -92.27 | 0.0 |
| 2 | -54.21 | 0.0 |
| 3 | -72.16 | 3.0 |
| 4 | -55.97 | 0.0 |
| 5 | -83.42 | 0.0 |
| 6 | -38.68 | 0.0 |
| 7 | -68.49 | 0.0 |